# Pa3H12Pd5

A relaxed structure of Pa3H12Pd5 (PBE, the Alexandria database).

Properties
The symmetry is Ia-3d, No. 230. As for the total energy: -391.52 eV/cell. The magnetic moment is 0.000 μB per formula unit.

extended XYZ file:
```
80
Lattice="10.319 0.000 0.000 -3.440 9.729 0.000 -3.440 -4.865 8.426" Properties=species:S:1:pos:R:3 pbc="T T T"
H 5.587 -0.668 1.756
H 6.766 1.021 0.300
H 1.606 6.527 3.478
H -1.834 -3.843 8.126
H 4.388 7.477 2.457
H -1.834 2.181 5.247
H 2.147 1.245 2.756
H 5.273 2.683 3.179
H -0.458 3.607 0.735
H -1.293 -0.577 3.913
H 2.492 4.043 3.491
H -3.553 7.046 3.179
H 2.178 3.600 0.722
H -4.212 2.613 5.969
H 0.948 0.821 4.935
H -0.772 5.686 3.491
H -0.458 6.130 0.722
H 7.338 4.872 1.456
H 3.326 1.662 4.947
H -3.326 3.843 8.126
H 6.452 0.577 3.913
H -0.948 -2.613 5.969
H 6.993 -2.181 5.247
H 1.262 1.265 7.704
H -3.898 -0.007 6.969
H 2.178 6.122 0.735
H 3.867 4.197 6.670
H -0.948 3.434 7.391
H 0.114 3.202 3.478
H -2.668 8.298 1.034
H 6.107 -3.434 7.391
H 4.212 -0.821 4.935
H 4.388 1.431 1.034
H 3.898 1.258 7.691
H -2.147 5.532 6.670
H 1.834 -1.662 4.947
H 4.701 4.857 1.456
H 0.427 6.110 5.669
H -0.427 0.668 1.756
H -1.262 0.007 6.969
H 5.273 8.708 0.300
H 1.262 -1.258 7.691
H 7.652 2.252 2.457
H 1.293 3.619 5.669
H -3.012 4.287 4.513
H 3.012 -1.245 2.756
H 3.898 -1.265 7.704
H 4.732 5.442 4.513
Pd -0.860 7.905 1.053
Pd 0.860 3.040 7.373
Pd -0.860 0.608 5.266
Pd 5.160 0.000 0.000
Pd 0.860 -2.432 6.319
Pd 3.440 -2.432 4.213
Pd 4.300 4.257 3.160
Pd -1.720 -2.432 4.213
Pd -1.720 4.865 0.000
Pd 0.000 0.000 0.000
Pd 4.300 2.432 6.319
Pd 3.440 4.865 0.000
Pd -0.860 2.432 2.106
Pd -3.440 2.432 4.213
Pd 6.020 -0.608 5.266
Pd 2.580 7.297 2.106
Pd 4.300 -3.040 7.373
Pd 1.720 2.432 4.213
Pd 2.580 1.824 1.053
Pd -2.580 5.473 3.160
Pa 6.020 3.040 1.053
Pa 4.300 0.608 3.160
Pa -2.580 -1.824 7.373
Pa 2.580 5.473 5.266
Pa 0.860 4.865 2.106
Pa 6.020 6.689 1.053
Pa -4.300 4.865 6.319
Pa -2.580 1.824 7.373
Pa 7.740 0.000 2.106
Pa 2.580 0.000 6.319
Pa -0.860 4.257 5.266
Pa 0.860 -0.608 3.160
```